The following is a PBE calculation of a geometry-optimized Ce4YTm3S8 structure, from Alexandria via LeMat-Bulk.

```
data_Ce4YTm3S8
_chemical_formula_sum 'Ce12 Y3 Tm9 S24'
_space_group_name_H-M_alt 'R -3 m'
_space_group_IT_number 166
_space_group_name_Hall '-R 3 2"'
_cell_length_a 7.8310
_cell_length_b 7.8310
_cell_length_c 19.5902
_cell_angle_alpha 90.00
_cell_angle_beta 90.00
_cell_angle_gamma 120.00
loop_
_atom_site_label
_atom_site_fract_x
_atom_site_fract_y
_atom_site_fract_z
Ce1 0.0000 0.0000 0.0000
Ce2 0.0000 0.5000 0.0000
Y1 0.0000 0.0000 0.5000
Tm1 0.0000 0.5000 0.5000
S1 0.0000 0.0000 0.2441
S2 0.0033 0.5016 0.7551
```

Results
formation energy (no corrections)	-46.37	kcal/mol of atoms
total DFT energy (no corrections)	-6.800	eV per atom



The following is a PBE calculation of a geometry-optimized NiI3Cl structure, from Alexandria via LeMat-Bulk.

```
data_NiI3Cl
_chemical_formula_sum 'Ni1 I3 Cl1'
_space_group_name_H-M_alt 'P m -3 m'
_space_group_IT_number 221
_space_group_name_Hall '-P 4 2 3'
_cell_length_a 5.244
_cell_length_b 5.244
_cell_length_c 5.244
_cell_angle_alpha 90.00
_cell_angle_beta 90.00
_cell_angle_gamma 90.00
loop_
_atom_site_label
_atom_site_fract_x
_atom_site_fract_y
_atom_site_fract_z
Ni1 0.000 0.000 0.000
I1 0.000 0.000 0.500
Cl1 0.500 0.500 0.500
```

Results
formation energy (no corrections)	5.33	kcal/mol of atoms
total DFT energy (no corrections)	-2.225	eV per atom



The following is a PBE calculation of a geometry-optimized PuNpIr2 structure, from Alexandria via LeMat-Bulk.

```
data_PuNpIr2
_chemical_formula_sum 'Pu1 Np1 Ir2'
_space_group_name_H-M_alt 'P 4/m m m'
_space_group_IT_number 123
_space_group_name_Hall '-P 4 2'
_cell_length_a 5.114
_cell_length_b 5.114
_cell_length_c 3.019
_cell_angle_alpha 90.00
_cell_angle_beta 90.00
_cell_angle_gamma 90.00
loop_
_atom_site_label
_atom_site_fract_x
_atom_site_fract_y
_atom_site_fract_z
Pu1 0.000 0.000 0.000
Np1 0.500 0.500 0.000
Ir1 0.000 0.500 0.500
```

Results
total DFT energy (no corrections)	-11.590	eV per atom
E_form	-0.342	eV per atom



The following is a PBE calculation of a geometry-optimized YTaRu structure, from Alexandria via LeMat-Bulk.

```
data_YTaRu
_chemical_formula_sum 'Y3 Ta3 Ru3'
_space_group_name_H-M_alt 'P -6 2 m'
_space_group_IT_number 189
_space_group_name_Hall 'P -6 -2'
_cell_length_a 6.7490
_cell_length_b 6.7490
_cell_length_c 4.6895
_cell_angle_alpha 90.00
_cell_angle_beta 90.00
_cell_angle_gamma 120.00
loop_
_atom_site_label
_atom_site_fract_x
_atom_site_fract_y
_atom_site_fract_z
Y1 0.0000 0.5784 0.0000
Ta1 0.0000 0.2463 0.5000
Ru1 0.0000 0.0000 0.0000
Ru2 0.3333 0.6667 0.5000
```

Results
total DFT energy (no corrections)	-9.398	eV per atom
E_form	-0.201	eV per atom



The following is a PBE calculation of a geometry-optimized Ca5PmAu6 structure, from Alexandria via LeMat-Bulk.

```
data_Ca5PmAu6
_chemical_formula_sum 'Ca5 Pm1 Au6'
_space_group_name_H-M_alt 'P 1 2/m 1'
_space_group_IT_number 10
_cell_length_a 5.153
_cell_length_b 7.326
_cell_length_c 8.124
_cell_angle_alpha 90.00
_cell_angle_beta 108.21
_cell_angle_gamma 90.00
loop_
_space_group_symop_operation_xyz
'x,y,z'
'-x,-y,-z'
'-x,y,-z'
'x,-y,z'
loop_
_atom_site_label
_atom_site_fract_x
_atom_site_fract_y
_atom_site_fract_z
Ca1 0.000 0.000 0.000
Ca2 0.330 0.500 0.661
Ca3 0.333 0.000 0.668
Pm1 0.000 0.500 0.000
Au1 0.164 0.251 0.327
Au2 0.500 0.259 0.000
```

Results
total DFT energy (no corrections)	-3.662	eV per atom
E_form	-0.793	eV per atom



The following is a PBE calculation of a geometry-optimized LaIrW2 structure, from Alexandria via LeMat-Bulk.

```
data_LaIrW2
_chemical_formula_sum 'La2 Ir2 W4'
_space_group_name_H-M_alt 'I m m 2'
_space_group_IT_number 44
_cell_length_a 3.097
_cell_length_b 5.203
_cell_length_c 9.643
_cell_angle_alpha 90.00
_cell_angle_beta 90.00
_cell_angle_gamma 90.00
loop_
_space_group_symop_operation_xyz
'x,y,z'
'-x,-y,z'
'-x,y,z'
'x,-y,z'
'x+1/2,y+1/2,z+1/2'
'-x+1/2,-y+1/2,z+1/2'
'-x+1/2,y+1/2,z+1/2'
'x+1/2,-y+1/2,z+1/2'
loop_
_atom_site_label
_atom_site_fract_x
_atom_site_fract_y
_atom_site_fract_z
La1 0.000 0.000 0.000
Ir1 0.000 0.500 0.225
W1 0.000 0.000 0.497
W2 0.000 0.500 0.783
```

Results
total DFT energy (no corrections)	-9.394	eV per atom
E_form	0.530	eV per atom



The following is a PBE calculation of a geometry-optimized Sc3Tl structure, from Alexandria via LeMat-Bulk.

```
data_Sc3Tl
_chemical_formula_sum 'Sc3 Tl1'
_space_group_name_H-M_alt 'P -6 m 2'
_space_group_IT_number 187
_space_group_name_Hall 'P -6 2'
_cell_length_a 3.3406
_cell_length_b 3.3406
_cell_length_c 10.2215
_cell_angle_alpha 90.00
_cell_angle_beta 90.00
_cell_angle_gamma 120.00
loop_
_atom_site_label
_atom_site_fract_x
_atom_site_fract_y
_atom_site_fract_z
Sc1 0.0000 0.0000 0.0000
Sc2 0.3333 0.6667 0.2499
Tl1 0.0000 0.0000 0.5000
```

Results
total DFT energy (no corrections)	-5.411	eV per atom
E_form	-0.071	eV per atom



The following is a PBE calculation of a geometry-optimized KNd2RuO8 structure, from Alexandria via LeMat-Bulk.

```
data_KNd2RuO8
_chemical_formula_sum 'K1 Nd2 Ru1 O8'
_space_group_name_H-M_alt 'P -1'
_space_group_IT_number 2
_cell_length_a 4.261
_cell_length_b 5.302
_cell_length_c 7.359
_cell_angle_alpha 90.04
_cell_angle_beta 105.58
_cell_angle_gamma 90.08
loop_
_space_group_symop_operation_xyz
'x,y,z'
'-x,-y,-z'
loop_
_atom_site_label
_atom_site_fract_x
_atom_site_fract_y
_atom_site_fract_z
K1 0.000 0.000 0.000
Nd1 0.376 0.491 0.710
Ru1 0.000 0.000 0.500
O1 0.172 0.502 0.997
O2 0.182 0.696 0.406
O3 0.208 0.225 0.377
O4 0.349 0.017 0.726
```

Results
formation energy (no corrections)	-42.35	kcal/mol of atoms
total DFT energy (no corrections)	-6.801	eV per atom



The following is a PBE calculation of a geometry-optimized CuSnBi structure, from Alexandria via LeMat-Bulk.

```
data_CuSnBi
_chemical_formula_sum 'Cu16 Sn16 Bi16'
_space_group_name_H-M_alt 'F d d d'
_space_group_IT_number 70
_cell_length_a 5.610
_cell_length_b 9.850
_cell_length_c 20.159
_cell_angle_alpha 90.00
_cell_angle_beta 90.00
_cell_angle_gamma 90.00
loop_
_space_group_symop_operation_xyz
'x,y,z'
'-x,-y,-z'
'-x+1/4,-y+1/4,z'
'x+1/4,y+1/4,-z'
'x,-y+1/4,-z+1/4'
'-x,y+1/4,z+1/4'
'-x+1/4,y,-z+1/4'
'x+1/4,-y,z+1/4'
'x,y+1/2,z+1/2'
'-x,-y+1/2,-z+1/2'
'-x+1/4,-y+3/4,z+1/2'
'x+1/4,y+3/4,-z+1/2'
'x,-y+3/4,-z+3/4'
'-x,y+3/4,z+3/4'
'-x+1/4,y+1/2,-z+3/4'
'x+1/4,-y+1/2,z+3/4'
'x+1/2,y,z+1/2'
'-x+1/2,-y,-z+1/2'
'-x+3/4,-y+1/4,z+1/2'
'x+3/4,y+1/4,-z+1/2'
'x+1/2,-y+1/4,-z+3/4'
'-x+1/2,y+1/4,z+3/4'
'-x+3/4,y,-z+3/4'
'x+3/4,-y,z+3/4'
'x+1/2,y+1/2,z'
'-x+1/2,-y+1/2,-z'
'-x+3/4,-y+3/4,z'
'x+3/4,y+3/4,-z'
'x+1/2,-y+3/4,-z+1/4'
'-x+1/2,y+3/4,z+1/4'
'-x+3/4,y+1/2,-z+1/4'
'x+3/4,-y+1/2,z+1/4'
loop_
_atom_site_label
_atom_site_fract_x
_atom_site_fract_y
_atom_site_fract_z
Cu1 0.125 0.125 0.005
Sn1 0.125 0.125 0.541
Bi1 0.125 0.294 0.125
```

Results
total DFT energy (no corrections)	-3.877	eV per atom
E_form	0.117	eV per atom



The following is a PBE calculation of a geometry-optimized TcHgTe3 structure, from Alexandria via LeMat-Bulk.

```
data_TcHgTe3
_chemical_formula_sum 'Tc1 Hg1 Te3'
_space_group_name_H-M_alt 'P m -3 m'
_space_group_IT_number 221
_space_group_name_Hall '-P 4 2 3'
_cell_length_a 5.568
_cell_length_b 5.568
_cell_length_c 5.568
_cell_angle_alpha 90.00
_cell_angle_beta 90.00
_cell_angle_gamma 90.00
loop_
_atom_site_label
_atom_site_fract_x
_atom_site_fract_y
_atom_site_fract_z
Tc1 0.000 0.000 0.000
Hg1 0.500 0.500 0.500
Te1 0.000 0.500 0.500
```

Results
formation energy (no corrections)	30.66	kcal/mol of atoms
total DFT energy (no corrections)	-2.689	eV per atom



The following is a PBE calculation of a geometry-optimized Th6Os2SeS3 structure, from Alexandria via LeMat-Bulk.

```
data_Th6Os2SeS3
_chemical_formula_sum 'Th12 Os4 Se2 S6'
_space_group_name_H-M_alt 'C 1 2/m 1'
_space_group_IT_number 12
_cell_length_a 7.222
_cell_length_b 12.458
_cell_length_c 7.254
_cell_angle_alpha 90.00
_cell_angle_beta 109.50
_cell_angle_gamma 90.00
loop_
_space_group_symop_operation_xyz
'x,y,z'
'-x,-y,-z'
'-x,y,-z'
'x,-y,z'
'x+1/2,y+1/2,z'
'-x+1/2,-y+1/2,-z'
'-x+1/2,y+1/2,-z'
'x+1/2,-y+1/2,z'
loop_
_atom_site_label
_atom_site_fract_x
_atom_site_fract_y
_atom_site_fract_z
Th1 0.224 0.000 0.236
Th2 0.241 0.177 0.759
Os1 0.000 0.168 0.000
Se1 0.000 0.500 0.000
S1 0.000 0.000 0.500
S2 0.000 0.344 0.500
```

Results
formation energy (no corrections)	-29.56	kcal/mol of atoms
total DFT energy (no corrections)	-8.186	eV per atom



The following is a PBE calculation of a geometry-optimized MoOsPd3 structure, from Alexandria via LeMat-Bulk.

```
data_MoOsPd3
_chemical_formula_sum 'Mo1 Os1 Pd3'
_space_group_name_H-M_alt 'P m -3 m'
_space_group_IT_number 221
_space_group_name_Hall '-P 4 2 3'
_cell_length_a 4.783
_cell_length_b 4.783
_cell_length_c 4.783
_cell_angle_alpha 90.00
_cell_angle_beta 90.00
_cell_angle_gamma 90.00
loop_
_atom_site_label
_atom_site_fract_x
_atom_site_fract_y
_atom_site_fract_z
Mo1 0.000 0.000 0.000
Os1 0.500 0.500 0.500
Pd1 0.000 0.500 0.500
```

Results
total DFT energy (no corrections)	-5.834	eV per atom
E_form	1.694	eV per atom



- Which of these has the lowest total DFT energy (no corrections)?
  PuNpIr2



- Look up the total DFT energy (no corrections) of the third one.
  -11.590 eV per atom



- Which formula does entry 9 have?
  CuSnBi



Repeat the sixth record exactly.
The following is a PBE calculation of a geometry-optimized LaIrW2 structure, from Alexandria via LeMat-Bulk.

```
data_LaIrW2
_chemical_formula_sum 'La2 Ir2 W4'
_space_group_name_H-M_alt 'I m m 2'
_space_group_IT_number 44
_cell_length_a 3.097
_cell_length_b 5.203
_cell_length_c 9.643
_cell_angle_alpha 90.00
_cell_angle_beta 90.00
_cell_angle_gamma 90.00
loop_
_space_group_symop_operation_xyz
'x,y,z'
'-x,-y,z'
'-x,y,z'
'x,-y,z'
'x+1/2,y+1/2,z+1/2'
'-x+1/2,-y+1/2,z+1/2'
'-x+1/2,y+1/2,z+1/2'
'x+1/2,-y+1/2,z+1/2'
loop_
_atom_site_label
_atom_site_fract_x
_atom_site_fract_y
_atom_site_fract_z
La1 0.000 0.000 0.000
Ir1 0.000 0.500 0.225
W1 0.000 0.000 0.497
W2 0.000 0.500 0.783
```

Results
total DFT energy (no corrections)	-9.394	eV per atom
E_form	0.530	eV per atom